Density functional theory data (PBEsol) for TiCrCu2Cl after structural relaxation.

## Properties
- formation energy from raw total energies (kJ/mol of atoms) = 95.08
- energy (eV/atom) = -4.86
- mass density (g cm⁻³) = 5.01

```
data_TiCrCu2Cl
_chemical_formula_sum 'Ti1 Cr1 Cu2 Cl1'
_cell_length_a 4.512
_cell_length_b 4.512
_cell_length_c 4.271
_cell_angle_alpha 90.00
_cell_angle_beta 90.00
_cell_angle_gamma 90.00
_symmetry_space_group_name_H-M 'P 4/m m m'
_symmetry_Int_Tables_number 123
_symmetry_space_group_name_Hall '-P 4 2'
loop_
_atom_site_label
_atom_site_type_symbol
_atom_site_fract_x
_atom_site_fract_y
_atom_site_fract_z
Ti1 Ti 0.000 0.000 0.000
Cr1 Cr 0.000 0.000 0.500
Cu1 Cu 0.000 0.500 0.500
Cl1 Cl 0.500 0.500 0.000
```

***

Density functional theory data (PBEsol) for TlRuRh2 after structural relaxation.

## Properties
- ΔE to the lowest computed polymorph (eV/f.u.) = 0.00
- formation energy from the elements (meV per atom) = 306
- energy (eV/atom) = -6.96
- mass density (g cm⁻³) = 13.89

```
data_TlRuRh2
_chemical_formula_sum 'Tl2 Ru2 Rh4'
_cell_length_a 9.021
_cell_length_b 2.847
_cell_length_c 4.834
_cell_angle_alpha 90.00
_cell_angle_beta 99.99
_cell_angle_gamma 90.00
_symmetry_space_group_name_H-M 'C 1 2/m 1'
_symmetry_Int_Tables_number 12
_symmetry_space_group_name_Hall '-C 2y'
loop_
_atom_site_label
_atom_site_type_symbol
_atom_site_fract_x
_atom_site_fract_y
_atom_site_fract_z
Tl1 Tl 0.000 0.000 0.000
Ru1 Ru 0.000 0.500 0.500
Rh1 Rh 0.243 0.000 0.727
```

***

Density functional theory data (PBEsol) for LaTmO3 after structural relaxation.

## Properties
- formation energy from raw total energies (kJ/mol of atoms) = -345.64
- energy (eV/atom) = -8.78
- mass density (g cm⁻³) = 8.17

```
data_LaTmO3
_chemical_formula_sum 'La4 Tm4 O12'
_cell_length_a 5.983
_cell_length_b 8.347
_cell_length_c 5.790
_cell_angle_alpha 90.00
_cell_angle_beta 90.00
_cell_angle_gamma 90.00
_symmetry_space_group_name_H-M 'P n m a'
_symmetry_Int_Tables_number 62
_symmetry_space_group_name_Hall '-P 2ac 2n'
loop_
_atom_site_label
_atom_site_type_symbol
_atom_site_fract_x
_atom_site_fract_y
_atom_site_fract_z
La1 La 0.050 0.250 0.016
Tm1 Tm 0.000 0.000 0.500
O1 O 0.054 0.750 0.376
O2 O 0.196 0.566 0.805
```